<a>
The following is a DFT calculation (PBE) of a relaxed Ta6Nb2Ir crystal. Values from VASP.

```
&SYSTEM
  ibrav = 0, nat = 9, ntyp = 3
/
ATOMIC_SPECIES
Ta 180.95 Ta.upf
Nb 92.91 Nb.upf
Ir 192.22 Ir.upf
ATOMIC_POSITIONS crystal
Ta 0.0000 0.0000 0.0000
Ta 0.0000 0.4732 0.7705
Ta 0.0000 0.7705 0.4732
Ta 0.5000 0.1214 0.7810
Ta 0.5000 0.3398 0.3398
Ta 0.5000 0.7810 0.1214
Nb 0.0000 0.1020 0.4455
Nb 0.0000 0.4455 0.1020
Ir 0.5000 0.7084 0.7084
CELL_PARAMETERS angstrom
2.9200 0.0000 0.0000
0.0000 7.3990 3.8202
0.0000 -7.3990 3.8202
```

Calculated values
Density in g/cm³: 14.724
Space-group type: No. 38



<b>
The following is a DFT calculation (PBE) of a relaxed Ta6Nb2Ir crystal. Values from VASP.

```
&SYSTEM
  ibrav = 0, nat = 9, ntyp = 3
/
ATOMIC_SPECIES
Ta 180.95 Ta.upf
Nb 92.91 Nb.upf
Ir 192.22 Ir.upf
ATOMIC_POSITIONS crystal
Ta 0.0019 0.3289 0.3264
Ta 0.1709 0.1709 0.8304
Ta 0.3289 0.0019 0.3264
Ta 0.6711 0.9981 0.6736
Ta 0.8291 0.8291 0.1696
Ta 0.9981 0.6711 0.6736
Nb 0.3384 0.6616 0.0000
Nb 0.6616 0.3384 0.0000
Ir 0.5000 0.5000 0.5000
CELL_PARAMETERS angstrom
3.5761 -7.2784 0.0000
3.5761 7.2784 0.0000
-0.6071 0.0000 3.1134
```

Calculated values
Density in g/cm³: 14.996
Space-group type: No. 12



Most stable one: <b>, least stable one: <a>.



<a>
The following is a DFT calculation (PBE) of a relaxed Ta2NbIr crystal. Values from VASP.

```
&SYSTEM
  ibrav = 0, nat = 8, ntyp = 3
/
ATOMIC_SPECIES
Ta 180.95 Ta.upf
Nb 92.91 Nb.upf
Ir 192.22 Ir.upf
ATOMIC_POSITIONS crystal
Ta 0.1246 0.6250 0.9996
Ta 0.3750 0.3746 0.4996
Ta 0.6254 0.1250 0.0004
Ta 0.8750 0.8754 0.5004
Nb 0.0000 0.0000 0.0000
Nb 0.7500 0.2500 0.5000
Ir 0.2500 0.7500 0.5000
Ir 0.5000 0.5000 0.0000
CELL_PARAMETERS angstrom
-1.9087 1.9087 10.1768
1.9087 -1.9087 10.1768
1.9087 1.9087 -10.1768
```

Calculated values
Density in g/cm³: 14.489
Space-group type: No. 122



<b>
The following is a DFT calculation (PBE) of a relaxed Ta2NbIr crystal. Values from VASP.

```
&SYSTEM
  ibrav = 0, nat = 4, ntyp = 3
/
ATOMIC_SPECIES
Ta 180.95 Ta.upf
Nb 92.91 Nb.upf
Ir 192.22 Ir.upf
ATOMIC_POSITIONS crystal
Ta 0.0000 0.5000 0.0000
Ta 0.5000 0.0000 0.0000
Nb 0.0000 0.0000 0.5000
Ir 0.5000 0.5000 0.5000
CELL_PARAMETERS angstrom
4.5518 0.0000 0.0000
0.0000 4.5518 0.0000
0.0000 0.0000 3.2948
```

Calculated values
Density in g/cm³: 15.739
Space-group type: No. 123



<c>
The following is a DFT calculation (PBE) of a relaxed Ta2NbIr crystal. Values from VASP.

```
&SYSTEM
  ibrav = 0, nat = 4, ntyp = 3
/
ATOMIC_SPECIES
Ta 180.95 Ta.upf
Nb 92.91 Nb.upf
Ir 192.22 Ir.upf
ATOMIC_POSITIONS crystal
Ta 0.0000 0.0000 0.2464
Ta 0.0000 0.0000 0.7536
Nb 0.5000 0.5000 0.5000
Ir 0.5000 0.5000 0.0000
CELL_PARAMETERS angstrom
3.2865 0.0000 0.0000
0.0000 3.2865 0.0000
0.0000 0.0000 6.3910
```

Calculated values
Density in g/cm³: 15.565
Space-group type: No. 123



<d>
The following is a DFT calculation (PBE) of a relaxed Ta2NbIr crystal. Values from VASP.

```
&SYSTEM
  ibrav = 0, nat = 4, ntyp = 3
/
ATOMIC_SPECIES
Ta 180.95 Ta.upf
Nb 92.91 Nb.upf
Ir 192.22 Ir.upf
ATOMIC_POSITIONS crystal
Ta 0.2500 0.2500 0.2500
Ta 0.7500 0.7500 0.7500
Nb 0.0000 0.0000 0.0000
Ir 0.5000 0.5000 0.5000
CELL_PARAMETERS angstrom
0.0000 3.2357 3.2357
3.2357 0.0000 3.2357
3.2357 3.2357 0.0000
```

Calculated values
Density in g/cm³: 15.857
Space-group type: No. 225



Most stable one: <d>, least stable one: <a>.



<a>
The following is a DFT calculation (PBE) of a relaxed NbTc3Ir crystal. Values from VASP.

```
&SYSTEM
  ibrav = 0, nat = 5, ntyp = 3
/
ATOMIC_SPECIES
Nb 92.91 Nb.upf
Tc 98.00 Tc.upf
Ir 192.22 Ir.upf
ATOMIC_POSITIONS crystal
Nb 0.0000 0.0000 0.0000
Tc 0.0000 0.0000 0.5000
Tc 0.0000 0.5000 0.0000
Tc 0.5000 0.0000 0.0000
Ir 0.5000 0.5000 0.5000
CELL_PARAMETERS angstrom
4.6093 0.0000 0.0000
0.0000 4.6093 0.0000
0.0000 0.0000 4.6093
```

Calculated values
Density in g/cm³: 9.820
Space-group type: No. 221



<b>
The following is a DFT calculation (PBE) of a relaxed NbTc3Ir crystal. Values from VASP.

```
&SYSTEM
  ibrav = 0, nat = 5, ntyp = 3
/
ATOMIC_SPECIES
Nb 92.91 Nb.upf
Tc 98.00 Tc.upf
Ir 192.22 Ir.upf
ATOMIC_POSITIONS crystal
Nb 0.0000 0.0000 0.0000
Tc 0.0000 0.5000 0.5000
Tc 0.5000 0.0000 0.5000
Tc 0.5000 0.5000 0.0000
Ir 0.5000 0.5000 0.5000
CELL_PARAMETERS angstrom
4.6446 0.0000 0.0000
0.0000 4.6446 0.0000
0.0000 0.0000 4.6446
```

Calculated values
Density in g/cm³: 9.598
Space-group type: No. 221



Most stable one: <b>, least stable one: <a>.



<a>
The following is a DFT calculation (PBE) of a relaxed NbTc2Ir2 crystal. Values from VASP.

```
&SYSTEM
  ibrav = 0, nat = 10, ntyp = 3
/
ATOMIC_SPECIES
Nb 92.91 Nb.upf
Tc 98.00 Tc.upf
Ir 192.22 Ir.upf
ATOMIC_POSITIONS crystal
Nb 0.0000 0.0000 0.0000
Nb 0.5000 0.5000 0.0000
Tc 0.1215 0.3785 0.0000
Tc 0.3785 0.8785 0.0000
Tc 0.6215 0.1215 0.0000
Tc 0.8785 0.6215 0.0000
Ir 0.1730 0.6730 0.5000
Ir 0.3270 0.1730 0.5000
Ir 0.6730 0.8270 0.5000
Ir 0.8270 0.3270 0.5000
CELL_PARAMETERS angstrom
7.5447 0.0000 0.0000
0.0000 7.5447 0.0000
0.0000 0.0000 2.7617
```

Calculated values
Density in g/cm³: 14.225
Space-group type: No. 127



<b>
The following is a DFT calculation (PBE) of a relaxed NbTc2Ir2 crystal. Values from VASP.

```
&SYSTEM
  ibrav = 0, nat = 10, ntyp = 3
/
ATOMIC_SPECIES
Nb 92.91 Nb.upf
Tc 98.00 Tc.upf
Ir 192.22 Ir.upf
ATOMIC_POSITIONS crystal
Nb 0.0000 0.0000 0.0000
Nb 0.5000 0.5000 0.0000
Tc 0.1729 0.3271 0.5000
Tc 0.3271 0.8271 0.5000
Tc 0.6729 0.1729 0.5000
Tc 0.8271 0.6729 0.5000
Ir 0.1237 0.6237 0.0000
Ir 0.3763 0.1237 0.0000
Ir 0.6237 0.8763 0.0000
Ir 0.8763 0.3763 0.0000
CELL_PARAMETERS angstrom
7.5576 0.0000 0.0000
0.0000 7.5576 0.0000
0.0000 0.0000 2.7598
```

Calculated values
Density in g/cm³: 14.186
Space-group type: No. 127



Most stable one: <a>, least stable one: <b>.



<a>
The following is a DFT calculation (PBE) of a relaxed NbTe3Ir crystal. Values from VASP.

```
&SYSTEM
  ibrav = 0, nat = 5, ntyp = 3
/
ATOMIC_SPECIES
Nb 92.91 Nb.upf
Te 127.60 Te.upf
Ir 192.22 Ir.upf
ATOMIC_POSITIONS crystal
Nb 0.0000 0.0000 0.0000
Te 0.0000 0.5000 0.5000
Te 0.5000 0.0000 0.5000
Te 0.5000 0.5000 0.0000
Ir 0.5000 0.5000 0.5000
CELL_PARAMETERS angstrom
5.1524 0.0000 0.0000
0.0000 5.1524 0.0000
0.0000 0.0000 5.1524
```

Calculated values
Density in g/cm³: 8.109
Space-group type: No. 221



<b>
The following is a DFT calculation (PBE) of a relaxed NbTe3Ir crystal. Values from VASP.

```
&SYSTEM
  ibrav = 0, nat = 5, ntyp = 3
/
ATOMIC_SPECIES
Nb 92.91 Nb.upf
Te 127.60 Te.upf
Ir 192.22 Ir.upf
ATOMIC_POSITIONS crystal
Nb 0.0000 0.0000 0.0000
Te 0.0000 0.0000 0.5000
Te 0.0000 0.5000 0.0000
Te 0.5000 0.0000 0.0000
Ir 0.5000 0.5000 0.5000
CELL_PARAMETERS angstrom
5.2715 0.0000 0.0000
0.0000 5.2715 0.0000
0.0000 0.0000 5.2715
```

Calculated values
Density in g/cm³: 7.571
Space-group type: No. 221



Most stable one: <a>, least stable one: <b>.



<a>
The following is a DFT calculation (PBE) of a relaxed Ti3NbIr crystal. Values from VASP.

```
&SYSTEM
  ibrav = 0, nat = 5, ntyp = 3
/
ATOMIC_SPECIES
Ti 47.87 Ti.upf
Nb 92.91 Nb.upf
Ir 192.22 Ir.upf
ATOMIC_POSITIONS crystal
Ti 0.0000 0.0000 0.5000
Ti 0.0000 0.5000 0.0000
Ti 0.5000 0.0000 0.0000
Nb 0.5000 0.5000 0.5000
Ir 0.0000 0.0000 0.0000
CELL_PARAMETERS angstrom
4.7004 0.0000 0.0000
0.0000 4.7004 0.0000
0.0000 0.0000 4.7004
```

Calculated values
Density in g/cm³: 6.855
Space-group type: No. 221



<b>
The following is a DFT calculation (PBE) of a relaxed Ti3NbIr crystal. Values from VASP.

```
&SYSTEM
  ibrav = 0, nat = 10, ntyp = 3
/
ATOMIC_SPECIES
Ti 47.87 Ti.upf
Nb 92.91 Nb.upf
Ir 192.22 Ir.upf
ATOMIC_POSITIONS crystal
Ti 0.2337 0.4756 0.1092
Ti 0.2404 0.2424 0.5028
Ti 0.2649 0.0429 0.9034
Ti 0.7351 0.9571 0.0966
Ti 0.7596 0.7576 0.4972
Ti 0.7663 0.5244 0.8908
Nb 0.2490 0.6494 0.7026
Nb 0.7510 0.3506 0.2974
Ir 0.2542 0.8510 0.2943
Ir 0.7458 0.1490 0.7057
CELL_PARAMETERS angstrom
5.2710 0.0000 0.0000
2.2911 4.7535 0.0000
2.5256 0.2917 6.5033
```

Calculated values
Density in g/cm³: 8.738
Space-group type: No. 2



<c>
The following is a DFT calculation (PBE) of a relaxed Ti3NbIr crystal. Values from VASP.

```
&SYSTEM
  ibrav = 0, nat = 5, ntyp = 3
/
ATOMIC_SPECIES
Ti 47.87 Ti.upf
Nb 92.91 Nb.upf
Ir 192.22 Ir.upf
ATOMIC_POSITIONS crystal
Ti 0.0000 0.0000 0.5000
Ti 0.0000 0.5000 0.0000
Ti 0.5000 0.0000 0.0000
Nb 0.0000 0.0000 0.0000
Ir 0.5000 0.5000 0.5000
CELL_PARAMETERS angstrom
4.6150 0.0000 0.0000
0.0000 4.6150 0.0000
0.0000 0.0000 4.6150
```

Calculated values
Density in g/cm³: 7.243
Space-group type: No. 221



Most stable one: <b>, least stable one: <c>.